The following is a DFT calculation (PBE) of an optimized crystal structure of Er5CoSb4.

As for the formation energy (no corrections): -0.7485 eV/atom. As for the total magnetization: 0.00 μB/f.u.

The space group is I4 (No. 79) and the conventional cell measures 9.4950, 9.4950 and 6.1142 Å, with angles of 90.00, 90.00 and 90.00 degrees. The distinct sites, in fractional coordinates, are Er at (0.0000, 0.0000, 0.0000), Er at (0.0946, 0.7173, 0.6364), Co at (0.0000, 0.0000, 0.5677) and Sb at (0.0913, 0.7042, 0.1382).